No. 1
A geometry-optimized BaHoGa structure. Source: OQMD via LeMat-Bulk, functional PBE.

Unit cell a=5.283 b=5.283 c=5.283 alpha=60.00 beta=60.00 gamma=60.00
Fractional positions:
Ho 0.750 0.750 0.750
Ga 0.250 0.250 0.250
Ba 0.000 0.000 0.000

Space-group type = F-43m (216)
M_tot = 0.001 μB per atom
Energy above the lowest structure with this stoichiometry = 0.326 eV per atom

No. 2
A geometry-optimized KSmSn structure. Source: OQMD via LeMat-Bulk, functional PBE.

Unit cell a=5.360 b=5.360 c=5.360 alpha=60.00 beta=60.00 gamma=60.00
Fractional positions:
K 0.250 0.250 0.250
Sn 0.750 0.750 0.750
Sm 0.000 0.000 0.000

Space-group type = F-43m (216)
M_tot = 0.000 μB per atom
Energy above the lowest structure with this stoichiometry = 0.000 eV per atom

No. 3
A geometry-optimized YCoBiOs structure. Source: OQMD via LeMat-Bulk, functional PBE.

Unit cell a=4.791 b=4.791 c=4.791 alpha=60.00 beta=60.00 gamma=60.00
Fractional positions:
Os 0.500 0.500 0.500
Co 0.750 0.750 0.750
Bi 0.000 0.000 0.000
Y 0.250 0.250 0.250

Space-group type = F-43m (216)
M_tot = 0.724 μB per atom
Energy above the lowest structure with this stoichiometry = 0.353 eV per atom

No. 4
A geometry-optimized MgScZnSi structure. Source: OQMD via LeMat-Bulk, functional PBE.

Unit cell a=4.640 b=4.640 c=4.640 alpha=60.00 beta=60.00 gamma=60.00
Fractional positions:
Sc 0.750 0.750 0.750
Zn 0.500 0.500 0.500
Mg 0.250 0.250 0.250
Si 0.000 0.000 0.000

Space-group type = F-43m (216)
M_tot = 0.000 μB per atom
Energy above the lowest structure with this stoichiometry = 0.000 eV per atom

No. 5
A geometry-optimized ScFeCoPb structure. Source: OQMD via LeMat-Bulk, functional PBE.

Unit cell a=4.562 b=4.562 c=4.562 alpha=60.00 beta=60.00 gamma=60.00
Each line ends with the local moment (μB).
Fractional positions:
Sc 0.750 0.750 0.750  -0.14
Fe 0.500 0.500 0.500  2.67
Co 0.250 0.250 0.250  1.38
Pb 0.000 0.000 0.000  0.01

Space-group type = F-43m (216)
M_tot = 0.975 μB per atom
Energy above the lowest structure with this stoichiometry = 0.106 eV per atom

No. 6
A geometry-optimized Sm2GdIn structure. Source: OQMD via LeMat-Bulk, functional PBE.

Unit cell a=4.901 b=4.901 c=4.923 alpha=90.00 beta=90.00 gamma=90.00
Fractional positions:
Sm 0.500 0.000 0.500
Sm 0.000 0.500 0.500
In 0.000 0.000 0.000
Gd 0.500 0.500 0.000

Space-group type = P4/mmm (123)
M_tot = 0.003 μB per atom

No. 7
A geometry-optimized CsBeFeTc structure. Source: OQMD via LeMat-Bulk, functional PBE.

Unit cell a=4.670 b=4.670 c=4.670 alpha=60.00 beta=60.00 gamma=60.00
Fractional positions:
Cs 0.000 0.000 0.000
Tc 0.500 0.500 0.500
Fe 0.250 0.250 0.250
Be 0.750 0.750 0.750

Space-group type = F-43m (216)
M_tot = 1.072 μB per atom
Energy above the lowest structure with this stoichiometry = 0.007 eV per atom

No. 8
A geometry-optimized TbTmPa structure. Source: OQMD via LeMat-Bulk, functional PBE.

Unit cell a=5.246 b=5.246 c=5.246 alpha=60.00 beta=60.00 gamma=60.00
Fractional positions:
Tm 0.000 0.000 0.000
Tb 0.750 0.750 0.750
Pa 0.250 0.250 0.250

Space-group type = F-43m (216)
M_tot = 0.920 μB per atom
Energy above the lowest structure with this stoichiometry = 0.000 eV per atom
Energy of formation from the pure elements = 1076 meV/atom

Number 1: DFT total energy -2.6159 eV per atom. Number 2: DFT total energy -3.2074 eV per atom. Number 3: DFT total energy -6.6518 eV per atom. Number 4: DFT total energy -3.8660 eV per atom. Number 5: DFT total energy -6.1872 eV per atom. Number 6: DFT total energy -4.4825 eV per atom. Number 7: DFT total energy -4.0230 eV per atom. Number 8: DFT total energy -5.1237 eV per atom.